[1]
SrPtRh | GGA-PBE | optimized geometry

abc: 5.524 5.524 5.524
angles: 89.94 120.15 119.92
Positions (direct):
Sr1 0.250 0.126 0.876
Sr2 0.750 0.874 0.124
Rh1 0.000 0.500 0.000
Rh2 0.500 0.500 0.500
Pt1 0.000 0.500 0.500
Pt2 0.500 0.000 0.500

Summary:
ΔE to the lowest computed polymorph   0 kJ/mol of formula units
Total moment   0.000 μB per atom
Formation enthalpy at 0 K   -0.607 eV per atom

[2]
Cr2Co2Ni | GGA-PBE | optimized geometry

abc: 3.374 3.374 5.816
angles: 73.14 73.14 90.00
Each line ends with the local moment (μB).
Positions (direct):
Co1 0.750 0.250 0.500  0.53
Co2 0.250 0.750 0.500  0.53
Cr1 0.596 0.596 0.807  -0.25
Cr2 0.404 0.404 0.193  -0.25
Ni1 0.000 0.000 0.000  -0.13

Summary:
ΔE to the lowest computed polymorph   166 kJ/mol of formula units
Total moment   0.084 μB per atom
Formation enthalpy at 0 K   0.514 eV per atom

[3]
Mg2SnHPt | GGA-PBE | optimized geometry

abc: 4.518 4.518 3.861
angles: 90.00 90.00 90.00
Positions (direct):
H1 0.000 0.000 0.000
Sn1 0.500 0.500 0.500
Mg1 0.000 0.500 0.000
Mg2 0.500 0.000 0.000
Pt1 0.000 0.000 0.500

Summary:
E_tot   -18.18 eV per cell
Total moment   0.000 μB per atom

[4]
NaSrPuN3 | GGA-PBE | optimized geometry

abc: 5.795 5.707 6.797
angles: 65.18 85.40 78.98
Each line ends with the local moment (μB).
Positions (direct):
N1 0.011 0.739 0.120  -0.15
N2 0.250 0.765 0.471  -0.23
N3 0.489 0.141 0.120  -0.15
N4 0.511 0.859 0.880  -0.15
N5 0.750 0.235 0.529  -0.23
N6 0.989 0.261 0.880  -0.15
Pu1 0.250 0.930 0.140  2.61
Pu2 0.750 0.070 0.860  2.61
Sr1 0.250 0.246 0.508  0.01
Sr2 0.750 0.754 0.492  0.01
Na1 0.250 0.568 0.864  0.00
Na2 0.750 0.432 0.136  0.00

Summary:
ΔE_f (raw)   -0.61 eV per atom
Total moment   0.333 μB per atom